# 1
First-principles (PBE) data for a relaxed structure of Na4Mg2GaHg, as listed in OQMD via LeMat-Bulk.

The structure in extended XYZ format:
```
8
Lattice="5.133 0.000 0.000 0.000 5.133 0.000 0.000 0.000 7.268" Properties=species:S:1:pos:R:3 pbc="T T T"
Na 0.000 0.000 0.000
Na 0.000 2.566 1.790
Na 2.566 0.000 5.478
Na 2.566 2.566 3.634
Mg 0.000 2.566 5.516
Mg 2.566 0.000 1.752
Ga 2.566 2.566 0.000
Hg 0.000 0.000 3.634
```

# 2
First-principles (PBE) data for a relaxed structure of Nd3Mg3Ga2Hg, as listed in OQMD via LeMat-Bulk.

The structure in extended XYZ format:
```
9
Lattice="7.533 0.000 0.000 -3.766 6.523 0.000 0.000 0.000 4.557" Properties=species:S:1:pos:R:3 pbc="T T T"
Nd -2.168 3.755 0.000
Nd 1.598 2.768 0.000
Nd 4.336 0.000 0.000
Mg -0.928 1.608 2.278
Mg 1.856 0.000 2.278
Mg 2.838 4.916 2.278
Ga 0.000 4.349 2.278
Ga 3.766 2.174 2.278
Hg 0.000 0.000 0.000
```

# 3
First-principles (PBE) data for a relaxed structure of Pr3Mg3GaHg2, as listed in OQMD via LeMat-Bulk.

The structure in extended XYZ format:
```
9
Lattice="7.630 0.000 0.000 -3.815 6.608 0.000 0.000 0.000 4.676" Properties=species:S:1:pos:R:3 pbc="T T T"
Pr -2.242 3.883 0.000
Pr 1.573 2.725 0.000
Pr 4.483 0.000 0.000
Mg -0.909 1.574 2.338
Mg 1.818 0.000 2.338
Mg 2.906 5.034 2.338
Ga 0.000 0.000 0.000
Hg 0.000 4.405 2.338
Hg 3.815 2.203 2.338
```

# 4
First-principles (PBE) data for a relaxed structure of Pr3Mg3Ga2Hg, as listed in OQMD via LeMat-Bulk.

The structure in extended XYZ format:
```
9
Lattice="7.572 0.000 0.000 -3.786 6.558 0.000 0.000 0.000 4.585" Properties=species:S:1:pos:R:3 pbc="T T T"
Pr -2.180 3.776 0.000
Pr 1.606 2.782 0.000
Pr 4.360 0.000 0.000
Mg -0.930 1.612 2.292
Mg 1.861 0.000 2.292
Mg 2.856 4.946 2.292
Ga 0.000 4.372 2.292
Ga 3.786 2.186 2.292
Hg 0.000 0.000 0.000
```

Number 1: electronic total energy -1.5152 eV/atom. Number 2: electronic total energy -3.2988 eV/atom. Number 3: electronic total energy -2.9177 eV/atom. Number 4: electronic total energy -3.2972 eV/atom.